Density functional theory data (GGA-PBE) for a geometry-optimized Pm7GaCl12 structure.

abc: 14.7484 14.7484 9.6410
angles: 90.00 90.00 120.00
Space group R-3 (No. 148, hexagonal axes)
One atom of each set of equivalent atoms:
Pm1 0.0000 0.0000 0.0000 (multiplicity 3)
Pm2 0.0449 0.1730 0.3330 (multiplicity 18)
Ga1 0.0000 0.0000 0.5000 (multiplicity 3)
Cl1 0.0293 0.5853 0.1644 (multiplicity 18)
Cl2 0.0463 0.1780 0.8429 (multiplicity 18)

## Properties
The uncorrected formation energy is -1.893 eV/atom.